(1)
EuYTlSn after structural relaxation. Source: Alexandria via LeMat-Bulk, functional GGA-PBE.

Results
Symmetry: F-43m

Cell and atoms, written as POSCAR:
```
EuYTlSn
1.0
5.4616 0.0000 0.0000
2.7308 4.7299 0.0000
2.7308 1.5766 4.4594
Eu Y Tl Sn
1 1 1 1
Direct
0.2500 0.2500 0.2500
0.7500 0.7500 0.7500
0.5000 0.5000 0.5000
0.0000 0.0000 0.0000
```

***

(2)
EuTlZnSn after structural relaxation. Source: Alexandria via LeMat-Bulk, functional GGA-PBE.

Results
Symmetry: F-43m

Cell and atoms, written as POSCAR:
```
EuTlZnSn
1.0
-4.4086 1.2164 2.7032
-4.7355 -1.6364 -1.7664
-2.6443 -3.7938 2.6149
Eu Zn Tl Sn
1 1 1 1
Direct
0.0000 0.0000 0.0000
0.2500 0.2500 0.2500
0.7500 0.7500 0.7500
0.5000 0.5000 0.5000
```

***

(3)
Eu2TmSn after structural relaxation. Source: Alexandria via LeMat-Bulk, functional GGA-PBE.

Results
Symmetry: P4/mmm

Cell and atoms, written as POSCAR:
```
Eu2TmSn
1.0
-4.5835 0.3771 2.2755
-2.0067 -2.5446 -3.6203
0.8624 -4.1238 2.4205
Eu Tm Sn
2 1 1
Direct
0.0000 0.0000 0.5000
0.0000 0.5000 0.0000
0.5000 0.5000 0.5000
0.5000 0.0000 0.0000
```

***

N(E_F) in states/eV per atom, matching the order above: 0.5239 0.8449 0.8167
ΔE_f in meV/atom, matching the order above: -500.3 -204.5 -372.6